Material: Er2CuBr
Method: DFT, GGA-PBE
State: relaxed

Properties
The excess energy over the best structure of this formula in the dataset comes out at 0.101 eV/f.u.

Cell lengths 7.962, 7.962, 7.962 Å; angles 28.36, 28.36, 28.36 degrees
Fractional positions:
Er 0.000 0.000 0.000
Er 0.198 0.198 0.198
Cu 0.600 0.600 0.600
Br 0.431 0.431 0.431

---

Material: Er2CuBr
Method: DFT, GGA-PBE
State: relaxed

Properties
The excess energy over the best structure of this formula in the dataset comes out at 0.000 eV/f.u.

Cell lengths 7.728, 7.728, 7.728 Å; angles 29.68, 29.68, 29.68 degrees
Fractional positions:
Er 0.235 0.235 0.235
Er 0.765 0.765 0.765
Cu 0.500 0.500 0.500
Br 0.000 0.000 0.000

---

Material: KErCuBr6
Method: DFT, GGA-PBE
State: relaxed

Cell lengths 6.883, 6.894, 7.351 Å; angles 93.33, 93.44, 113.89 degrees
Fractional positions:
K 0.000 0.000 0.000
Er 0.341 0.663 0.501
Cu 0.691 0.318 0.497
Br 0.019 0.347 0.676
Br 0.026 0.614 0.241
Br 0.387 0.972 0.763
Br 0.425 0.357 0.281
Br 0.648 0.577 0.718
Br 0.653 0.984 0.323

---

Material: RbErCuBr5
Method: DFT, GGA-PBE
State: relaxed

Cell lengths 7.779, 7.779, 10.506 Å; angles 103.63, 103.63, 106.09 degrees
Fractional positions:
Rb 0.149 0.851 0.750
Rb 0.851 0.149 0.250
Er 0.500 0.500 0.000
Er 0.500 0.500 0.500
Cu 0.191 0.809 0.250
Cu 0.809 0.191 0.750
Br 0.124 0.268 0.927
Br 0.191 0.598 0.392
Br 0.268 0.124 0.427
Br 0.402 0.809 0.108
Br 0.425 0.575 0.750
Br 0.575 0.425 0.250
Br 0.598 0.191 0.892
Br 0.732 0.876 0.573
Br 0.809 0.402 0.608
Br 0.876 0.732 0.073

---

Material: Rb2ErCuBr6
Method: DFT, GGA-PBE
State: relaxed

Cell lengths 7.812, 7.799, 7.655 Å; angles 60.72, 60.55, 58.73 degrees
Fractional positions:
Rb 0.250 0.250 0.250
Rb 0.750 0.750 0.750
Er 0.000 0.000 0.000
Cu 0.500 0.500 0.500
Br 0.246 0.246 0.754
Br 0.256 0.744 0.256
Br 0.257 0.743 0.743
Br 0.743 0.257 0.257
Br 0.744 0.256 0.744
Br 0.754 0.754 0.246

---

Material: RbErCuBr6
Method: DFT, GGA-PBE
State: relaxed

Cell lengths 6.895, 6.911, 7.682 Å; angles 93.87, 94.06, 113.02 degrees
Fractional positions:
Rb 0.000 0.000 0.000
Er 0.353 0.652 0.501
Cu 0.706 0.306 0.495
Br 0.036 0.338 0.663
Br 0.041 0.601 0.247
Br 0.401 0.956 0.758
Br 0.442 0.349 0.287
Br 0.658 0.560 0.709
Br 0.661 0.968 0.334

---

Material: Rb3ErCu2Br9
Method: DFT, GGA-PBE
State: relaxed

Cell lengths 7.615, 7.615, 9.422 Å; angles 90.00, 90.00, 120.00 degrees
Fractional positions:
Rb 0.000 0.000 0.000
Rb 0.333 0.667 0.678
Rb 0.667 0.333 0.322
Er 0.000 0.000 0.500
Cu 0.333 0.667 0.138
Cu 0.667 0.333 0.862
Br 0.000 0.500 0.000
Br 0.171 0.341 0.330
Br 0.171 0.829 0.330
Br 0.341 0.171 0.670
Br 0.500 0.000 0.000
Br 0.500 0.500 0.000
Br 0.659 0.829 0.330
Br 0.829 0.171 0.670
Br 0.829 0.659 0.670

---

Material: EuCuBr2
Method: DFT, GGA-PBE
State: relaxed

Cell lengths 8.947, 8.947, 8.947 Å; angles 25.91, 25.91, 25.91 degrees
Fractional positions:
Eu 0.000 0.000 0.000
Cu 0.500 0.500 0.500
Br 0.112 0.112 0.112
Br 0.888 0.888 0.888

---

Material: Eu3Cu5Br12
Method: DFT, GGA-PBE
State: relaxed

Cell lengths 14.164, 14.164, 14.164 Å; angles 109.47, 109.47, 109.47 degrees
Fractional positions:
Eu 0.125 0.250 0.375
Eu 0.125 0.375 0.750
Eu 0.250 0.375 0.125
Eu 0.250 0.875 0.625
Eu 0.375 0.125 0.250
Eu 0.375 0.750 0.125
Eu 0.625 0.250 0.875
Eu 0.625 0.875 0.750
Eu 0.750 0.125 0.375
Eu 0.750 0.625 0.875
Eu 0.875 0.625 0.250
Eu 0.875 0.750 0.625
Cu 0.000 0.000 0.000
Cu 0.000 0.000 0.500
Cu 0.000 0.500 0.000
Cu 0.000 0.500 0.500
Cu 0.125 0.750 0.875
Cu 0.125 0.875 0.250
Cu 0.250 0.125 0.875
Cu 0.250 0.625 0.375
Cu 0.375 0.250 0.625
Cu 0.375 0.625 0.750
Cu 0.500 0.000 0.000
Cu 0.500 0.000 0.500
Cu 0.500 0.500 0.000
Cu 0.500 0.500 0.500
Cu 0.625 0.375 0.250
Cu 0.625 0.750 0.375
Cu 0.750 0.375 0.625
Cu 0.750 0.875 0.125
Cu 0.875 0.125 0.750
Cu 0.875 0.250 0.125
Br 0.029 0.209 0.120
Br 0.029 0.320 0.908
Br 0.088 0.709 0.680
Br 0.088 0.880 0.408
Br 0.092 0.620 0.412
Br 0.092 0.971 0.680
Br 0.120 0.029 0.209
Br 0.120 0.592 0.912
Br 0.180 0.209 0.588
Br 0.180 0.471 0.592
Br 0.209 0.120 0.029
Br 0.209 0.588 0.180
Br 0.291 0.320 0.912
Br 0.291 0.471 0.380
Br 0.320 0.908 0.029
Br 0.320 0.912 0.291
Br 0.380 0.291 0.471
Br 0.380 0.588 0.908
Br 0.408 0.088 0.880
Br 0.408 0.820 0.529
Br 0.412 0.092 0.620
Br 0.412 0.820 0.791
Br 0.471 0.380 0.291
Br 0.471 0.592 0.180
Br 0.529 0.408 0.820
Br 0.529 0.620 0.709
Br 0.588 0.180 0.209
Br 0.588 0.908 0.380
Br 0.592 0.180 0.471
Br 0.592 0.912 0.120
Br 0.620 0.412 0.092
Br 0.620 0.709 0.529
Br 0.680 0.088 0.709
Br 0.680 0.092 0.971
Br 0.709 0.529 0.620
Br 0.709 0.680 0.088
Br 0.791 0.412 0.820
Br 0.791 0.880 0.971
Br 0.820 0.529 0.408
Br 0.820 0.791 0.412
Br 0.880 0.408 0.088
Br 0.880 0.971 0.791
Br 0.908 0.029 0.320
Br 0.908 0.380 0.588
Br 0.912 0.120 0.592
Br 0.912 0.291 0.320
Br 0.971 0.680 0.092
Br 0.971 0.791 0.880

---

Raw total energy (eV/atom)
-4.307, -4.333, -3.493, -3.679, -3.535, -3.489, -3.323, -5.007, -4.622
Formation energy from raw total energies (eV/atom)
-0.584, -0.609, -1.294, -1.430, -1.472, -1.304, -1.275, -0.578, -1.053